# Mg5ZnPd2

Crystalline Mg5ZnPd2 at its relaxed geometry (PBE, Alexandria).

```
16
Lattice="4.4164 0.0000 0.0000 0.0000 5.7664 0.0000 0.0000 0.0000 11.1481" Properties=species:S:1:pos:R:3 pbc="T T T"
Mg 2.2082 1.8417 1.2651
Mg 2.2082 3.9248 9.8830
Mg 2.2082 4.7249 4.3090
Mg 2.2082 1.0416 6.8392
Mg 0.0000 5.1537 8.2114
Mg 0.0000 0.6127 2.9367
Mg 0.0000 2.2705 8.5108
Mg 0.0000 3.4959 2.6373
Mg 0.0000 2.8832 5.5741
Mg 0.0000 0.0000 0.0000
Zn 0.0000 0.0000 5.5741
Zn 0.0000 2.8832 0.0000
Pd 2.2082 1.9348 4.0994
Pd 2.2082 3.8316 7.0488
Pd 2.2082 0.9484 9.6735
Pd 2.2082 4.8180 1.4747
```

Properties
The density of states at the Fermi level is 0.44 states/eV/atom. The calculation puts the formation energy at -3.23 eV per formula unit.


# Mg3Zn4Pd4

Crystalline Mg3Zn4Pd4 at its relaxed geometry (PBE, Alexandria).

```
11
Lattice="3.0145 -0.0016 -0.5997 -0.0002 3.4129 0.0026 -1.3739 1.7151 16.9510" Properties=species:S:1:pos:R:3 pbc="T T T"
Mg -0.7495 3.4193 12.1676
Mg 2.3899 1.7071 4.1862
Mg 0.0000 3.4129 0.0028
Zn 1.0764 1.7129 13.4908
Zn -0.0670 1.7096 7.6289
Zn 1.7071 3.4168 8.7245
Zn 0.5644 3.4135 2.8634
Pd -0.1732 3.4203 15.0967
Pd 1.8140 1.7061 1.2575
Pd 1.1720 3.4145 5.9621
Pd 0.4682 1.7119 10.3915
```

Properties
The density of states at the Fermi level is 0.42 states/eV/atom. The calculation puts the formation energy at -5.53 eV per formula unit.


# MgZn2Pd

Crystalline MgZn2Pd at its relaxed geometry (PBE, Alexandria).

```
8
Lattice="-3.6881 -0.2770 0.6556 0.6193 -3.2353 2.1168 0.8700 4.6555 6.8606" Properties=species:S:1:pos:R:3 pbc="T T T"
Mg -0.1147 2.6136 5.8386
Mg -2.0841 -1.4703 3.7945
Zn -2.1778 1.3027 4.4387
Zn -0.0210 -0.1594 5.1944
Zn -2.6096 -1.0080 1.0335
Zn 0.4109 2.1513 8.5996
Pd -0.5497 0.2858 2.4083
Pd -1.6491 0.8575 7.2248
```

Properties
The density of states at the Fermi level is 0.31 states/eV/atom. The calculation puts the formation energy at -1.70 eV per formula unit.


# Mg3Zn6Pd2

Crystalline Mg3Zn6Pd2 at its relaxed geometry (PBE, Alexandria).

```
22
Lattice="4.6541 -0.0422 1.3053 2.9645 5.9183 -1.5844 -1.7222 -6.4516 14.8539" Properties=species:S:1:pos:R:3 pbc="T T T"
Mg 3.0295 0.5328 8.4483
Mg 1.6698 -3.3708 11.3679
Mg 4.2503 -1.3813 12.9715
Mg 1.6462 0.8057 1.6033
Mg 2.8670 -1.1084 6.1266
Mg 4.2266 2.7952 3.2070
Zn 2.3254 -0.6307 11.0881
Zn 0.6791 -4.5228 13.8462
Zn 3.3147 -4.0583 13.4448
Zn 0.8526 -0.3637 4.2227
Zn 1.7337 2.1621 4.1387
Zn 3.7625 1.6470 5.8374
Zn 3.5710 0.0551 3.4868
Zn 5.2174 3.9472 0.7287
Zn 2.5818 3.4827 1.1300
Zn 5.0438 -0.2119 10.3521
Zn 4.1627 -2.7378 10.4361
Zn 2.1339 -2.2226 8.7374
Pd 1.5737 -1.9079 13.6099
Pd 0.1665 -1.6364 6.7430
Pd 4.3228 1.3323 0.9649
Pd 5.7299 1.0608 7.8318
```

Properties
The density of states at the Fermi level is 0.28 states/eV/atom. The calculation puts the formation energy at -3.13 eV per formula unit.


# Mg7Zn2Pd2

Crystalline Mg7Zn2Pd2 at its relaxed geometry (PBE, Alexandria).

```
11
Lattice="-2.8047 -1.2727 4.4639 4.6574 -2.3615 1.4642 1.5539 7.0030 1.3236" Properties=species:S:1:pos:R:3 pbc="T T T"
Mg 0.1928 -1.1016 4.9887
Mg 0.4209 4.8778 3.3858
Mg 3.2138 4.4703 2.2630
Mg 2.9857 -1.5091 3.8660
Mg 0.0000 0.0000 0.0000
Mg 2.4514 1.0048 5.7335
Mg 0.9552 2.3639 1.5182
Zn 3.0713 1.4848 3.0760
Zn 0.3353 1.8840 4.1758
Pd 2.4395 3.5815 4.7686
Pd 0.9671 -0.2128 2.4831
```

Properties
The density of states at the Fermi level is 0.30 states/eV/atom. Its energy above the most stable polymorph in this dataset is 0 meV per atom. The calculation puts the formation energy at -3.89 eV per formula unit.


# Mg3Zn9Pd2

Crystalline Mg3Zn9Pd2 at its relaxed geometry (PBE, Alexandria).

```
14
Lattice="4.1579 0.0000 1.0610 1.5256 7.3258 2.6989 0.1890 0.4993 7.9368" Properties=species:S:1:pos:R:3 pbc="T T T"
Mg 0.0000 0.0000 0.0000
Mg 3.4028 2.4183 4.0200
Mg 2.4698 5.4068 7.6767
Zn 0.8573 3.9126 5.3179
Zn 4.4159 7.4228 8.7276
Zn 1.4567 0.4024 2.9691
Zn 4.0331 5.4676 10.2278
Zn 1.8395 2.3575 1.4689
Zn 5.0192 6.4504 6.3635
Zn 0.8534 1.3748 5.3332
Zn 4.4054 3.3155 8.7689
Zn 1.4672 4.5096 2.9278
Pd 2.6956 2.6835 6.7914
Pd 3.1769 5.1416 4.9053
```

Properties
The density of states at the Fermi level is 0.32 states/eV/atom. The calculation puts the formation energy at -2.87 eV per formula unit.


# Mg4ZnPd15

Crystalline Mg4ZnPd15 at its relaxed geometry (PBE, Alexandria).

```
20
Lattice="-1.9744 0.8689 3.3284 -1.1422 -3.7856 0.3107 16.2246 -4.0193 10.6735" Properties=species:S:1:pos:R:3 pbc="T T T"
Mg 3.2091 -0.7950 2.1111
Mg 6.4774 -1.6047 4.2612
Mg 9.7472 -2.4147 6.4123
Mg 13.0156 -3.2244 8.5624
Zn 0.0000 0.0000 0.0000
Pd -1.5583 -1.4583 1.8196
Pd 1.6575 -2.2550 3.9351
Pd 4.9203 -3.0633 6.0816
Pd 8.1877 -3.8727 8.2310
Pd 11.4505 -4.6810 10.3775
Pd 0.5884 0.0441 2.7007
Pd 3.8580 -0.7658 4.8516
Pd 7.1251 -1.5752 7.0010
Pd 10.3923 -2.3846 9.1503
Pd 13.6618 -3.1946 11.3012
Pd 1.0045 -2.2831 1.1919
Pd 4.2740 -3.0931 3.3428
Pd 7.5412 -3.9025 5.4921
Pd 10.8084 -4.7118 7.6414
Pd 14.0779 -5.5218 9.7923
```

Properties
The density of states at the Fermi level is 1.30 states/eV/atom. The calculation puts the formation energy at -8.74 eV per formula unit.


# Mg17Zn11Pd

Crystalline Mg17Zn11Pd at its relaxed geometry (PBE, Alexandria).

```
29
Lattice="-3.3906 -6.1855 5.0897 -0.5227 -2.7944 -8.2207 8.5099 0.6550 2.0004" Properties=species:S:1:pos:R:3 pbc="T T T"
Mg 3.1097 0.2268 0.7278
Mg -0.1494 -5.9967 -1.5600
Mg 3.2394 -5.7972 -0.7790
Mg 4.0945 -2.9665 0.1264
Mg -0.0031 -0.0959 -0.0251
Mg 7.0144 -3.0629 -1.0865
Mg 1.5784 -3.9174 -2.6516
Mg 1.4394 -6.6983 3.4403
Mg -0.1809 -1.0523 -2.9551
Mg 4.5214 -3.3946 -2.7603
Mg 0.3497 -6.1911 -4.5162
Mg -0.8191 -7.5731 0.9084
Mg 3.4087 -4.7103 2.4040
Mg -1.2077 -2.2664 1.8104
Mg 3.3148 -4.4807 -5.2641
Mg 0.8054 -4.8315 0.9363
Mg 6.3097 -3.8963 2.1844
Zn 6.0459 -1.1146 1.0187
Zn -2.4268 -6.3346 -3.5244
Zn 2.1733 -1.5878 -1.3359
Zn 2.6638 -4.7527 5.3511
Zn 4.9097 -3.5451 4.7606
Zn -1.1961 -5.3585 2.8974
Zn 0.5566 -3.2859 -5.2376
Zn 6.6957 -1.4332 -3.5285
Zn 4.9856 -2.0072 -5.4251
Zn 1.6306 -2.2295 1.1830
Zn -2.9649 -6.9708 -1.0272
Pd -0.1441 -2.8991 -0.7696
```

Properties
The density of states at the Fermi level is 0.31 states/eV/atom. The calculation puts the formation energy at -3.56 eV per formula unit.


# MgZn4Pd5

Crystalline MgZn4Pd5 at its relaxed geometry (PBE, Alexandria).

```
10
Lattice="-1.5176 -2.4850 1.1952 0.2657 -1.4896 -2.7599 12.9719 -5.8124 4.3860" Properties=species:S:1:pos:R:3 pbc="T T T"
Mg 0.0000 0.0000 0.0000
Zn 2.6427 -1.1841 0.8935
Zn 5.2047 -2.3321 1.7598
Zn 7.7672 -3.4803 2.6262
Zn 10.3292 -4.6283 3.4925
Pd 0.7474 -2.6027 -0.3180
Pd 3.3005 -3.7467 0.5452
Pd 5.8600 -4.8935 1.4106
Pd 8.4195 -6.0404 2.2760
Pd 10.9726 -7.1844 3.1393
```

Properties
The density of states at the Fermi level is 0.30 states/eV/atom. The calculation puts the formation energy at -5.90 eV per formula unit.


# Mg4Zn4Pd3

Crystalline Mg4Zn4Pd3 at its relaxed geometry (PBE, Alexandria).

```
11
Lattice="-3.1550 0.3723 1.2022 0.4214 -2.5197 1.8756 7.0976 10.9418 10.4162" Properties=species:S:1:pos:R:3 pbc="T T T"
Mg -0.8489 -0.1841 2.6170
Mg 5.2132 8.9787 10.8774
Mg 2.3171 5.2657 9.2187
Mg 2.0468 3.5284 4.2751
Zn 1.0750 1.8479 2.2404
Zn 3.1124 5.3608 6.4911
Zn 1.2515 3.4331 7.0023
Zn 3.2892 6.9465 11.2538
Pd 0.1779 1.5869 4.7630
Pd 4.1862 7.2075 8.7311
Pd -3.1548 0.3724 1.2025
```

Properties
The density of states at the Fermi level is 0.36 states/eV/atom. The calculation puts the formation energy at -4.71 eV per formula unit.


# MgZnPd

Crystalline MgZnPd at its relaxed geometry (PBE, Alexandria).

```
6
Lattice="-2.0676 2.8978 3.7594 -2.9026 -0.4485 -4.2637 0.5397 -5.1278 0.4681" Properties=species:S:1:pos:R:3 pbc="T T T"
Mg -0.3927 -3.7835 0.8403
Mg -4.0378 1.1049 -0.8765
Zn -2.2152 -1.3393 -0.0181
Zn -1.4513 -0.2242 -2.1318
Pd -1.1815 -2.7882 -1.8978
Pd -0.7639 -1.1150 2.1138
```

Properties
The density of states at the Fermi level is 0.30 states/eV/atom. The calculation puts the formation energy at -1.58 eV per formula unit.


# Mg3Zn8Pd4

Crystalline Mg3Zn8Pd4 at its relaxed geometry (PBE, Alexandria).

```
30
Lattice="7.6069 0.0000 4.3918 2.5356 7.1718 4.3918 0.0000 0.0000 8.7837" Properties=species:S:1:pos:R:3 pbc="T T T"
Mg 7.3117 5.1701 8.7837
Mg 2.8309 2.0017 8.7837
Mg 6.1915 2.0017 6.8434
Mg 3.9511 5.1701 10.7239
Mg 6.1915 2.0017 10.7239
Mg 3.9511 5.1701 6.8434
Zn 5.1227 0.8783 4.3918
Zn 5.0198 6.2936 13.1755
Zn 1.2421 0.8783 6.6323
Zn 1.2421 0.8783 2.1513
Zn 8.9004 6.2936 10.9350
Zn 8.9004 6.2936 15.4160
Zn 2.5356 4.5370 4.3918
Zn 7.6069 2.6348 13.1755
Zn 8.3191 2.4376 8.7837
Zn 1.8234 4.7342 8.7837
Zn 3.4473 2.4376 11.5964
Zn 3.4473 2.4376 5.9710
Zn 6.6952 4.7342 5.9710
Zn 6.6952 4.7342 11.5964
Zn 5.0713 7.0308 8.7837
Zn 5.0713 0.1411 8.7837
Pd 0.0000 0.0000 0.0000
Pd 5.0713 3.5859 4.3918
Pd 0.0000 0.0000 4.3918
Pd 3.8034 0.0000 2.1959
Pd 1.2678 3.5859 6.5878
Pd 3.8034 0.0000 6.5878
Pd 1.2678 3.5859 2.1959
Pd 5.0713 3.5859 8.7837
```

Properties
The density of states at the Fermi level is 0.29 states/eV/atom. The calculation puts the formation energy at -5.78 eV per formula unit.